GdScHg | PBE-GGA | relaxed

E above lowest polymorph = 0.491 eV/atom
Total magnetization = 0.009 μB/f.u.
Theoretical density = 7803 kg/m³
Calculated total energy = -0.246 Ry per atom
Formation energy = 0.41 eV/atom

a b c (Å): 4.949 4.949 4.949
angles (deg): 60.00 60.00 60.00
Atoms (fractional coordinates):
Gd 0.000 0.000 0.000
Sc 0.250 0.250 0.250
Hg 0.750 0.750 0.750

GdTlHgSe3 | PBE-GGA | relaxed

E above lowest polymorph = 0.041 eV/atom
Total magnetization = 0.002 μB/f.u.
Theoretical density = 7862 kg/m³
Calculated total energy = -0.284 Ry per atom

a b c (Å): 12.194 4.334 12.774
angles (deg): 90.00 90.00 90.00
Atoms (fractional coordinates):
Gd 0.033 0.250 0.175
Gd 0.467 0.750 0.675
Gd 0.533 0.250 0.325
Gd 0.967 0.750 0.825
Tl 0.163 0.250 0.502
Tl 0.337 0.750 0.002
Tl 0.663 0.250 0.998
Tl 0.837 0.750 0.498
Hg 0.250 0.250 0.805
Hg 0.250 0.750 0.305
Hg 0.750 0.250 0.695
Hg 0.750 0.750 0.195
Se 0.032 0.750 0.332
Se 0.083 0.250 0.935
Se 0.233 0.750 0.672
Se 0.267 0.250 0.172
Se 0.417 0.750 0.435
Se 0.468 0.250 0.832
Se 0.532 0.750 0.168
Se 0.583 0.250 0.565
Se 0.733 0.750 0.828
Se 0.767 0.250 0.328
Se 0.917 0.750 0.065
Se 0.968 0.250 0.668

GdTlHgSe3 | PBE-GGA | relaxed

E above lowest polymorph = 0.000 eV/atom
Total magnetization = 0.004 μB/f.u.
Theoretical density = 7824 kg/m³
Calculated total energy = -0.287 Ry per atom

a b c (Å): 7.615 7.615 11.018
angles (deg): 90.00 90.00 147.94
Atoms (fractional coordinates):
Gd 0.000 0.000 0.000
Gd 0.000 0.000 0.500
Tl 0.249 0.751 0.750
Tl 0.751 0.249 0.250
Hg 0.456 0.544 0.250
Hg 0.544 0.456 0.750
Se 0.076 0.924 0.250
Se 0.365 0.635 0.044
Se 0.365 0.635 0.456
Se 0.635 0.365 0.544
Se 0.635 0.365 0.956
Se 0.924 0.076 0.750